Record 1
## DyErMnGa (PBE)

Data for a geometry-optimized DyErMnGa structure.

```
data_DyErMnGa
_cell_length_a 7.089
_cell_length_b 7.089
_cell_length_c 7.089
_cell_angle_alpha 90.00
_cell_angle_beta 90.00
_cell_angle_gamma 90.00
_symmetry_space_group_name_H-M 'P 1'
_symmetry_Int_Tables_number 1
loop_
_symmetry_equiv_pos_as_xyz
'x,y,z'
loop_
_atom_site_label
_atom_site_fract_x
_atom_site_fract_y
_atom_site_fract_z
Dy1 0.000 0.000 0.000
Dy2 0.000 0.500 0.500
Dy3 0.500 0.000 0.500
Dy4 0.500 0.500 0.000
Er1 0.000 0.000 0.500
Er2 0.000 0.500 0.000
Er3 0.500 0.000 0.000
Er4 0.500 0.500 0.500
Mn1 0.250 0.250 0.750
Mn2 0.250 0.750 0.250
Mn3 0.750 0.250 0.250
Mn4 0.750 0.750 0.750
Ga1 0.250 0.250 0.250
Ga2 0.250 0.750 0.750
Ga3 0.750 0.250 0.750
Ga4 0.750 0.750 0.250
```

Calculated values
DFT formation energy = -0.168 eV per atom
symmetry = No. 216
mass density = 8.47 g/cm³

Record 2
## Dy2ErGaN (PBE)

Data for a geometry-optimized Dy2ErGaN structure.

```
data_Dy2ErGaN
_cell_length_a 4.749
_cell_length_b 4.749
_cell_length_c 4.695
_cell_angle_alpha 90.00
_cell_angle_beta 90.00
_cell_angle_gamma 90.00
_symmetry_space_group_name_H-M 'P 1'
_symmetry_Int_Tables_number 1
loop_
_symmetry_equiv_pos_as_xyz
'x,y,z'
loop_
_atom_site_label
_atom_site_fract_x
_atom_site_fract_y
_atom_site_fract_z
Dy1 0.000 0.500 0.000
Dy2 0.500 0.000 0.000
Er1 0.000 0.000 0.500
Ga1 0.500 0.500 0.500
N1 0.000 0.000 0.000
```

Calculated values
symmetry = No. 123
mass density = 9.03 g/cm³
raw formation energy = -983.4 meV per atom

Record 3
## DyErGa2Pd5 (PBE)

Data for a geometry-optimized DyErGa2Pd5 structure.

```
data_DyErGa2Pd5
_cell_length_a 4.187
_cell_length_b 4.187
_cell_length_c 9.252
_cell_angle_alpha 90.00
_cell_angle_beta 90.00
_cell_angle_gamma 90.00
_symmetry_space_group_name_H-M 'P 1'
_symmetry_Int_Tables_number 1
loop_
_symmetry_equiv_pos_as_xyz
'x,y,z'
loop_
_atom_site_label
_atom_site_fract_x
_atom_site_fract_y
_atom_site_fract_z
Dy1 0.000 0.000 0.000
Er1 0.000 0.000 0.500
Ga1 0.500 0.500 0.367
Ga2 0.500 0.500 0.633
Pd1 0.000 0.500 0.223
Pd2 0.000 0.500 0.777
Pd3 0.500 0.000 0.223
Pd4 0.500 0.000 0.777
Pd5 0.500 0.500 0.000
```

Calculated values
DFT formation energy = -0.824 eV per atom
symmetry = No. 123
mass density = 10.25 g/cm³

Record 4
## PrDyErGa (PBE)

Data for a geometry-optimized PrDyErGa structure.

```
data_PrDyErGa
_cell_length_a 7.609
_cell_length_b 7.609
_cell_length_c 7.609
_cell_angle_alpha 90.00
_cell_angle_beta 90.00
_cell_angle_gamma 90.00
_symmetry_space_group_name_H-M 'P 1'
_symmetry_Int_Tables_number 1
loop_
_symmetry_equiv_pos_as_xyz
'x,y,z'
loop_
_atom_site_label
_atom_site_fract_x
_atom_site_fract_y
_atom_site_fract_z
Pr1 0.000 0.000 0.000
Pr2 0.000 0.500 0.500
Pr3 0.500 0.000 0.500
Pr4 0.500 0.500 0.000
Dy1 0.000 0.000 0.500
Dy2 0.000 0.500 0.000
Dy3 0.500 0.000 0.000
Dy4 0.500 0.500 0.500
Er1 0.250 0.250 0.250
Er2 0.250 0.750 0.750
Er3 0.750 0.250 0.750
Er4 0.750 0.750 0.250
Ga1 0.250 0.250 0.750
Ga2 0.250 0.750 0.250
Ga3 0.750 0.250 0.250
Ga4 0.750 0.750 0.750
```

Calculated values
DFT formation energy = -0.092 eV per atom
symmetry = No. 216
mass density = 8.15 g/cm³

Record 5
## DyErGaPt (PBE)

Data for a geometry-optimized DyErGaPt structure.

```
data_DyErGaPt
_cell_length_a 7.046
_cell_length_b 7.046
_cell_length_c 7.046
_cell_angle_alpha 90.00
_cell_angle_beta 90.00
_cell_angle_gamma 90.00
_symmetry_space_group_name_H-M 'P 1'
_symmetry_Int_Tables_number 1
loop_
_symmetry_equiv_pos_as_xyz
'x,y,z'
loop_
_atom_site_label
_atom_site_fract_x
_atom_site_fract_y
_atom_site_fract_z
Dy1 0.000 0.000 0.000
Dy2 0.000 0.500 0.500
Dy3 0.500 0.000 0.500
Dy4 0.500 0.500 0.000
Er1 0.000 0.000 0.500
Er2 0.000 0.500 0.000
Er3 0.500 0.000 0.000
Er4 0.500 0.500 0.500
Ga1 0.250 0.250 0.250
Ga2 0.250 0.750 0.750
Ga3 0.750 0.250 0.750
Ga4 0.750 0.750 0.250
Pt1 0.250 0.250 0.750
Pt2 0.250 0.750 0.250
Pt3 0.750 0.250 0.250
Pt4 0.750 0.750 0.750
```

Calculated values
DFT formation energy = -0.882 eV per atom
symmetry = No. 216
mass density = 11.29 g/cm³
relative energy among the computed polymorphs = 0.0684 eV per atom

Record 6
## DyErGaPt (PBE)

Data for a geometry-optimized DyErGaPt structure.

```
data_DyErGaPt
_cell_length_a 4.438
_cell_length_b 3.749
_cell_length_c 10.859
_cell_angle_alpha 90.00
_cell_angle_beta 90.00
_cell_angle_gamma 90.00
_symmetry_space_group_name_H-M 'P 1'
_symmetry_Int_Tables_number 1
loop_
_symmetry_equiv_pos_as_xyz
'x,y,z'
loop_
_atom_site_label
_atom_site_fract_x
_atom_site_fract_y
_atom_site_fract_z
Dy1 0.000 0.000 0.000
Dy2 0.000 0.500 0.500
Er1 0.500 0.000 0.716
Er2 0.500 0.500 0.216
Ga1 0.000 0.000 0.279
Ga2 0.000 0.500 0.779
Pt1 0.500 0.000 0.435
Pt2 0.500 0.500 0.935
```

Calculated values
DFT formation energy = -0.950 eV per atom
symmetry = No. 38
mass density = 10.93 g/cm³
relative energy among the computed polymorphs = 0.0000 eV per atom

Record 7
## Dy2ErGa3Pt4 (PBE)

Data for a geometry-optimized Dy2ErGa3Pt4 structure.

```
data_Dy2ErGa3Pt4
_cell_length_a 4.144
_cell_length_b 4.144
_cell_length_c 11.575
_cell_angle_alpha 90.00
_cell_angle_beta 90.00
_cell_angle_gamma 90.00
_symmetry_space_group_name_H-M 'P 1'
_symmetry_Int_Tables_number 1
loop_
_symmetry_equiv_pos_as_xyz
'x,y,z'
loop_
_atom_site_label
_atom_site_fract_x
_atom_site_fract_y
_atom_site_fract_z
Dy1 0.000 0.500 0.228
Dy2 0.500 0.000 0.772
Er1 0.000 0.000 0.500
Ga1 0.000 0.500 0.872
Ga2 0.500 0.000 0.128
Ga3 0.500 0.500 0.500
Pt1 0.000 0.000 0.000
Pt2 0.000 0.500 0.659
Pt3 0.500 0.000 0.341
Pt4 0.500 0.500 0.000
```

Calculated values
DFT formation energy = -0.979 eV per atom
symmetry = No. 115
mass density = 12.38 g/cm³

Record 8
## Dy2Er2Ga4Si (PBE)

Data for a geometry-optimized Dy2Er2Ga4Si structure.

```
data_Dy2Er2Ga4Si
_cell_length_a 6.555
_cell_length_b 6.555
_cell_length_c 6.555
_cell_angle_alpha 116.53
_cell_angle_beta 116.53
_cell_angle_gamma 96.12
_symmetry_space_group_name_H-M 'P 1'
_symmetry_Int_Tables_number 1
loop_
_symmetry_equiv_pos_as_xyz
'x,y,z'
loop_
_atom_site_label
_atom_site_fract_x
_atom_site_fract_y
_atom_site_fract_z
Dy1 0.196 0.196 0.000
Dy2 0.804 0.804 0.000
Er1 0.250 0.750 0.500
Er2 0.750 0.250 0.500
Ga1 0.251 0.251 0.501
Ga2 0.251 0.749 0.000
Ga3 0.749 0.251 0.000
Ga4 0.749 0.749 0.499
Si1 0.500 0.500 0.000
```

Calculated values
symmetry = No. 139
mass density = 7.70 g/cm³
raw formation energy = -287.5 meV per atom

Record 9
## DyErGaSn (PBE)

Data for a geometry-optimized DyErGaSn structure.

```
data_DyErGaSn
_cell_length_a 4.143
_cell_length_b 4.440
_cell_length_c 11.088
_cell_angle_alpha 90.00
_cell_angle_beta 90.00
_cell_angle_gamma 90.00
_symmetry_space_group_name_H-M 'P 1'
_symmetry_Int_Tables_number 1
loop_
_symmetry_equiv_pos_as_xyz
'x,y,z'
loop_
_atom_site_label
_atom_site_fract_x
_atom_site_fract_y
_atom_site_fract_z
Dy1 0.000 0.000 0.000
Dy2 0.000 0.500 0.500
Er1 0.500 0.000 0.278
Er2 0.500 0.500 0.778
Ga1 0.500 0.000 0.548
Ga2 0.500 0.500 0.048
Sn1 0.000 0.000 0.717
Sn2 0.000 0.500 0.217
```

Calculated values
DFT formation energy = -0.689 eV per atom
symmetry = No. 38
mass density = 8.44 g/cm³
relative energy among the computed polymorphs = 0.0000 eV per atom

Record 10
## DyErGaSn (PBE)

Data for a geometry-optimized DyErGaSn structure.

```
data_DyErGaSn
_cell_length_a 7.348
_cell_length_b 7.348
_cell_length_c 7.348
_cell_angle_alpha 90.00
_cell_angle_beta 90.00
_cell_angle_gamma 90.00
_symmetry_space_group_name_H-M 'P 1'
_symmetry_Int_Tables_number 1
loop_
_symmetry_equiv_pos_as_xyz
'x,y,z'
loop_
_atom_site_label
_atom_site_fract_x
_atom_site_fract_y
_atom_site_fract_z
Dy1 0.000 0.000 0.000
Dy2 0.000 0.500 0.500
Dy3 0.500 0.000 0.500
Dy4 0.500 0.500 0.000
Er1 0.000 0.000 0.500
Er2 0.000 0.500 0.000
Er3 0.500 0.000 0.000
Er4 0.500 0.500 0.500
Ga1 0.250 0.250 0.250
Ga2 0.250 0.750 0.750
Ga3 0.750 0.250 0.750
Ga4 0.750 0.750 0.250
Sn1 0.250 0.250 0.750
Sn2 0.250 0.750 0.250
Sn3 0.750 0.250 0.250
Sn4 0.750 0.750 0.750
```

Calculated values
DFT formation energy = -0.534 eV per atom
symmetry = No. 216
mass density = 8.68 g/cm³
relative energy among the computed polymorphs = 0.1549 eV per atom

Record 11
## DyErGaTc (PBE)

Data for a geometry-optimized DyErGaTc structure.

```
data_DyErGaTc
_cell_length_a 6.968
_cell_length_b 6.968
_cell_length_c 6.968
_cell_angle_alpha 90.00
_cell_angle_beta 90.00
_cell_angle_gamma 90.00
_symmetry_space_group_name_H-M 'P 1'
_symmetry_Int_Tables_number 1
loop_
_symmetry_equiv_pos_as_xyz
'x,y,z'
loop_
_atom_site_label
_atom_site_fract_x
_atom_site_fract_y
_atom_site_fract_z
Dy1 0.000 0.000 0.000
Dy2 0.000 0.500 0.500
Dy3 0.500 0.000 0.500
Dy4 0.500 0.500 0.000
Er1 0.000 0.000 0.500
Er2 0.000 0.500 0.000
Er3 0.500 0.000 0.000
Er4 0.500 0.500 0.500
Ga1 0.250 0.250 0.750
Ga2 0.250 0.750 0.250
Ga3 0.750 0.250 0.250
Ga4 0.750 0.750 0.750
Tc1 0.250 0.250 0.250
Tc2 0.250 0.750 0.750
Tc3 0.750 0.250 0.750
Tc4 0.750 0.750 0.250
```

Calculated values
DFT formation energy = -0.255 eV per atom
symmetry = No. 216
mass density = 9.77 g/cm³

Record 12
## DyErTlGa (PBE)

Data for a geometry-optimized DyErTlGa structure.

```
data_DyErTlGa
_cell_length_a 7.358
_cell_length_b 7.358
_cell_length_c 7.358
_cell_angle_alpha 90.00
_cell_angle_beta 90.00
_cell_angle_gamma 90.00
_symmetry_space_group_name_H-M 'P 1'
_symmetry_Int_Tables_number 1
loop_
_symmetry_equiv_pos_as_xyz
'x,y,z'
loop_
_atom_site_label
_atom_site_fract_x
_atom_site_fract_y
_atom_site_fract_z
Dy1 0.000 0.000 0.000
Dy2 0.000 0.500 0.500
Dy3 0.500 0.000 0.500
Dy4 0.500 0.500 0.000
Er1 0.000 0.000 0.500
Er2 0.000 0.500 0.000
Er3 0.500 0.000 0.000
Er4 0.500 0.500 0.500
Tl1 0.250 0.250 0.750
Tl2 0.250 0.750 0.250
Tl3 0.750 0.250 0.250
Tl4 0.750 0.750 0.750
Ga1 0.250 0.250 0.250
Ga2 0.250 0.750 0.750
Ga3 0.750 0.250 0.750
Ga4 0.750 0.750 0.250
```

Calculated values
DFT formation energy = -0.420 eV per atom
symmetry = No. 216
mass density = 10.07 g/cm³
relative energy among the computed polymorphs = 0.0292 eV per atom

Record 13
## DyErTlGa (PBE)

Data for a geometry-optimized DyErTlGa structure.

```
data_DyErTlGa
_cell_length_a 3.560
_cell_length_b 3.560
_cell_length_c 7.825
_cell_angle_alpha 90.00
_cell_angle_beta 90.00
_cell_angle_gamma 90.00
_symmetry_space_group_name_H-M 'P 1'
_symmetry_Int_Tables_number 1
loop_
_symmetry_equiv_pos_as_xyz
'x,y,z'
loop_
_atom_site_label
_atom_site_fract_x
_atom_site_fract_y
_atom_site_fract_z
Dy1 0.000 0.000 0.000
Er1 0.000 0.000 0.538
Tl1 0.500 0.500 0.272
Ga1 0.500 0.500 0.767
```

Calculated values
DFT formation energy = -0.449 eV per atom
symmetry = No. 99
mass density = 10.11 g/cm³
relative energy among the computed polymorphs = 0.0000 eV per atom

Record 14
## DyErZnGa (PBE)

Data for a geometry-optimized DyErZnGa structure.

```
data_DyErZnGa
_cell_length_a 7.107
_cell_length_b 7.107
_cell_length_c 7.107
_cell_angle_alpha 90.00
_cell_angle_beta 90.00
_cell_angle_gamma 90.00
_symmetry_space_group_name_H-M 'P 1'
_symmetry_Int_Tables_number 1
loop_
_symmetry_equiv_pos_as_xyz
'x,y,z'
loop_
_atom_site_label
_atom_site_fract_x
_atom_site_fract_y
_atom_site_fract_z
Dy1 0.000 0.000 0.000
Dy2 0.000 0.500 0.500
Dy3 0.500 0.000 0.500
Dy4 0.500 0.500 0.000
Er1 0.000 0.000 0.500
Er2 0.000 0.500 0.000
Er3 0.500 0.000 0.000
Er4 0.500 0.500 0.500
Zn1 0.250 0.250 0.250
Zn2 0.250 0.750 0.750
Zn3 0.750 0.250 0.750
Zn4 0.750 0.750 0.250
Ga1 0.250 0.250 0.750
Ga2 0.250 0.750 0.250
Ga3 0.750 0.250 0.250
Ga4 0.750 0.750 0.750
```

Calculated values
DFT formation energy = -0.480 eV per atom
symmetry = No. 216
mass density = 8.60 g/cm³